Record 1
This record from the Alexandria database describes crystalline AcPr2AgO5 at its relaxed geometry. The functional is PBE-GGA.

Unit cell a=6.776 b=6.776 c=6.200 alpha=90.00 beta=90.00 gamma=90.00
Space group P4/mbm (No. 127)
Unique sites:
Ac 0.000 0.000 0.000 (multiplicity 2)
Pr 0.165 0.335 0.500 (multiplicity 4)
Ag 0.000 0.500 0.000 (multiplicity 2)
O 0.000 0.000 0.500 (multiplicity 2)
O 0.171 0.671 0.243 (multiplicity 8)

Calculated values
- Magnetic moment: 0.0 Bohr magnetons per cell
- Mass density: 8.13 g/cm³
- Raw formation energy: -2498.0 meV per atom
- Crystal system: tetragonal
- Raw total energy: -7.088 eV per atom

Record 2
This record from the Alexandria database describes crystalline Ac2AgPtO6 at its relaxed geometry. The functional is PBE-GGA.

Unit cell a=5.906 b=5.906 c=4.228 alpha=90.00 beta=90.00 gamma=90.00
Space group P4mm (No. 99)
Unique sites:
Ac 0.000 0.500 0.000 (multiplicity 2)
Ag 0.000 0.000 0.542 (multiplicity 1)
Pt 0.500 0.500 0.581 (multiplicity 1)
O 0.000 0.000 0.051 (multiplicity 1)
O 0.260 0.260 0.626 (multiplicity 4)
O 0.500 0.500 0.086 (multiplicity 1)

Calculated values
- Magnetic moment: 0.0 Bohr magnetons per cell
- Mass density: 9.60 g/cm³
- Raw formation energy: -1715.2 meV per atom
- Crystal system: tetragonal
- Raw total energy: -6.401 eV per atom

What did the first record say?
This record from the Alexandria database describes crystalline AcPr2AgO5 at its relaxed geometry. The functional is PBE-GGA.

Unit cell a=6.776 b=6.776 c=6.200 alpha=90.00 beta=90.00 gamma=90.00
Space group P4/mbm (No. 127)
Unique sites:
Ac 0.000 0.000 0.000 (multiplicity 2)
Pr 0.165 0.335 0.500 (multiplicity 4)
Ag 0.000 0.500 0.000 (multiplicity 2)
O 0.000 0.000 0.500 (multiplicity 2)
O 0.171 0.671 0.243 (multiplicity 8)

Calculated values
- Magnetic moment: 0.0 Bohr magnetons per cell
- Mass density: 8.13 g/cm³
- Raw formation energy: -2498.0 meV per atom
- Crystal system: tetragonal
- Raw total energy: -7.088 eV per atom